(1)
The following is a PBE-GGA calculation of a relaxed NaCN2F crystal, from Alexandria.

It has space group P4/mmm (No. 123), with a = 4.7856 Å, b = 4.7856 Å, c = 4.0586 Å, α = 90.00°, β = 90.00° and γ = 90.00°. The asymmetric unit holds Na at (0.0000, 0.0000, 0.0000), C at (0.5000, 0.5000, 0.5000), N at (0.0000, 0.5000, 0.0000) and F at (0.0000, 0.0000, 0.5000).

The calculation puts the energy above the lowest structure with this stoichiometry at 10.14 eV per formula unit. The calculation puts the total energy at -3.182 eV per atom. The value obtained for the formation energy (no corrections) is 2631 meV per atom. For the spin magnetization, the calculation gives 4.00 Bohr magnetons per cell.

***

(2)
The following is a PBE-GGA calculation of a relaxed KNdSn2Cl8 crystal, from Alexandria.

It has space group P-1 (No. 2), with a = 6.5319 Å, b = 6.9115 Å, c = 9.0141 Å, α = 87.88°, β = 88.58° and γ = 88.41°. The asymmetric unit holds K at (0.0000, 0.0000, 0.0000), Nd at (0.0000, 0.0000, 0.5000), Sn at (0.4958, 0.4880, 0.2462), Cl at (0.2152, 0.8150, 0.2781), Cl at (0.2495, 0.3190, 0.4640), Cl at (0.2526, 0.8586, 0.7223) and Cl at (0.2835, 0.3568, 0.0366).

The calculation puts the total energy at -3.971 eV per atom. The value obtained for the formation energy (no corrections) is -1584 meV per atom. For the spin magnetization, the calculation gives 0.00 Bohr magnetons per cell.

***

(3)
The following is a PBE-GGA calculation of a relaxed Sc5CN4 crystal, from Alexandria.

It has space group I4/m (No. 87), with a = 7.2075 Å, b = 7.2075 Å, c = 4.5384 Å, α = 90.00°, β = 90.00° and γ = 90.00°. The asymmetric unit holds Sc at (0.0000, 0.0000, 0.0000), Sc at (0.1033, 0.3042, 0.5000), C at (0.0000, 0.0000, 0.5000) and N at (0.0996, 0.3012, 0.0000).

The calculation puts the total energy at -8.954 eV per atom. The value obtained for the formation energy (no corrections) is -1535 meV per atom. For the spin magnetization, the calculation gives 0.00 Bohr magnetons per cell.

***

(4)
The following is a PBE-GGA calculation of a relaxed Ho3Tm6Zr crystal, from Alexandria.

It has space group Cmc2_1 (No. 36), with a = 10.7894 Å, b = 18.5583 Å, c = 6.0422 Å, α = 90.00°, β = 90.00° and γ = 90.00°. The asymmetric unit holds Ho at (0.0000, 0.1131, 0.0000), Ho at (0.1690, 0.3876, 0.3789), Tm at (0.0000, 0.2245, 0.5825), Tm at (0.0000, 0.4480, 0.8572), Tm at (0.1621, 0.0442, 0.4682), Tm at (0.2499, 0.2082, 0.3125) and Zr at (0.0000, 0.2897, 0.0895).

The calculation puts the energy above the lowest structure with this stoichiometry at 0.00 eV per formula unit. The calculation puts the total energy at -4.764 eV per atom. For the spin magnetization, the calculation gives 0.01 Bohr magnetons per cell. The energy relative to the elements is 1.47 eV/f.u.

***

(5)
The following is a PBE-GGA calculation of a relaxed TaBeCu2 crystal, from Alexandria.

It has space group Imm2 (No. 44), with a = 2.6754 Å, b = 4.4282 Å, c = 8.8030 Å, α = 90.00°, β = 90.00° and γ = 90.00°. The asymmetric unit holds Ta at (0.0000, 0.0000, 0.0000), Be at (0.0000, 0.5000, 0.7531), Cu at (0.0000, 0.0000, 0.4541) and Cu at (0.0000, 0.5000, 0.2169).

The calculation puts the total energy at -5.736 eV per atom. For the spin magnetization, the calculation gives 0.00 Bohr magnetons per cell. The energy relative to the elements is 0.83 eV/f.u.

***

(6)
The following is a PBE-GGA calculation of a relaxed KTeI2O crystal, from Alexandria.

It has space group P4/mmm (No. 123), with a = 6.3019 Å, b = 6.3019 Å, c = 4.3470 Å, α = 90.00°, β = 90.00° and γ = 90.00°. The asymmetric unit holds K at (0.0000, 0.0000, 0.0000), Te at (0.5000, 0.5000, 0.5000), I at (0.0000, 0.5000, 0.0000) and O at (0.0000, 0.0000, 0.5000).

The calculation puts the energy above the lowest structure with this stoichiometry at 6.07 eV per formula unit. The calculation puts the total energy at -1.992 eV per atom. The value obtained for the formation energy (no corrections) is 468 meV per atom. For the spin magnetization, the calculation gives 0.00 Bohr magnetons per cell.

***

(7)
The following is a PBE-GGA calculation of a relaxed Er12AlCo5 crystal, from Alexandria.

It has space group Immm (No. 71), with a = 9.2518 Å, b = 9.2720 Å, c = 9.7300 Å, α = 90.00°, β = 90.00° and γ = 90.00°. The asymmetric unit holds Er at (0.0000, 0.1967, 0.1842), Er at (0.1863, 0.2102, 0.5000), Er at (0.1918, 0.5000, 0.2855), Al at (0.0000, 0.5000, 0.0000), Co at (0.0000, 0.0000, 0.3864), Co at (0.0000, 0.5000, 0.5000) and Co at (0.1247, 0.0000, 0.0000).

The calculation puts the total energy at -5.470 eV per atom. For the spin magnetization, the calculation gives 0.00 Bohr magnetons per cell. The energy relative to the elements is -4.43 eV/f.u.

***

(8)
The following is a PBE-GGA calculation of a relaxed VGaHgRh2 crystal, from Alexandria.

It has space group P4/mmm (No. 123), with a = 4.5095 Å, b = 4.5095 Å, c = 4.7964 Å, α = 90.00°, β = 90.00° and γ = 90.00°. The asymmetric unit holds V at (0.0000, 0.0000, 0.0000), Ga at (0.0000, 0.0000, 0.5000), Hg at (0.5000, 0.5000, 0.5000) and Rh at (0.0000, 0.5000, 0.0000).

The calculation puts the total energy at -4.832 eV per atom. For the spin magnetization, the calculation gives 0.00 Bohr magnetons per cell. The energy relative to the elements is 2.99 eV/f.u.

***

(9)
The following is a PBE-GGA calculation of a relaxed TaCdAs crystal, from Alexandria.

It has space group P3m1 (No. 156), with a = 3.1057 Å, b = 3.1057 Å, c = 7.1315 Å, α = 90.00°, β = 90.00° and γ = 120.00°. The asymmetric unit holds Ta at (0.0000, 0.0000, 0.0000), Cd at (0.3333, 0.6667, 0.6544) and As at (0.6667, 0.3333, 0.2804).

The calculation puts the energy above the lowest structure with this stoichiometry at 0.37 eV per formula unit. The calculation puts the total energy at -5.641 eV per atom. For the spin magnetization, the calculation gives 0.00 Bohr magnetons per cell. The energy relative to the elements is 0.50 eV/f.u.

***

(10)
The following is a PBE-GGA calculation of a relaxed Nd2ZrIn crystal, from Alexandria.

It has space group P4/mmm (No. 123), with a = 4.7641 Å, b = 4.7641 Å, c = 4.8760 Å, α = 90.00°, β = 90.00° and γ = 90.00°. The asymmetric unit holds Nd at (0.0000, 0.5000, 0.0000), Zr at (0.0000, 0.0000, 0.5000) and In at (0.5000, 0.5000, 0.5000).

The calculation puts the energy above the lowest structure with this stoichiometry at 0.00 eV per formula unit. The calculation puts the total energy at -5.365 eV per atom. For the spin magnetization, the calculation gives 0.00 Bohr magnetons per cell. The energy relative to the elements is -0.64 eV/f.u.

***

(11)
The following is a PBE-GGA calculation of a relaxed KCa2Os crystal, from Alexandria.

It has space group P4mm (No. 99), with a = 3.3786 Å, b = 3.3786 Å, c = 11.2181 Å, α = 90.00°, β = 90.00° and γ = 90.00°. The asymmetric unit holds K at (0.0000, 0.0000, 0.0000), Ca at (0.0000, 0.0000, 0.3670), Ca at (0.5000, 0.5000, 0.6588) and Os at (0.5000, 0.5000, 0.2126).

The calculation puts the energy above the lowest structure with this stoichiometry at 1.61 eV per formula unit. The calculation puts the total energy at -3.269 eV per atom. For the spin magnetization, the calculation gives 1.24 Bohr magnetons per cell. The energy relative to the elements is 3.26 eV/f.u.

***

(12)
The following is a PBE-GGA calculation of a relaxed Cs3ZrPa3Te8 crystal, from Alexandria.

It has space group R-3m (No. 166, hexagonal axes), with a = 8.6707 Å, b = 8.6707 Å, c = 28.1338 Å, α = 90.00°, β = 90.00° and γ = 120.00°. The asymmetric unit holds Cs at (0.0000, 0.5000, 0.0000), Zr at (0.0000, 0.0000, 0.5000), Pa at (0.0000, 0.5000, 0.5000), Te at (0.0000, 0.0000, 0.2330) and Te at (0.0093, 0.5047, 0.2301).

The calculation puts the total energy at -5.250 eV per atom. The value obtained for the formation energy (no corrections) is -935 meV per atom. For the spin magnetization, the calculation gives 17.66 Bohr magnetons per cell.

***

What is the formula in the eighth record? VGaHgRh2

***

spin magnetization of number 11 (KCa2Os)? 1.24 Bohr magnetons per cell

***

Which formula does entry 8 have? VGaHgRh2